#1
# Mg2In3Ga4

A geometry-optimized Mg2In3Ga4 structure (PBE, the Alexandria database).

## Properties
The calculation puts the size of the total moment at 0.0 μB per formula unit.

```
Mg2In3Ga4
1.0
5.281 -0.123 0.644
2.595 4.737 -0.088
3.897 1.185 8.152
Mg In Ga
2 3 4
Cartesian
5.510 1.797 3.104
6.263 4.003 5.605
6.315 0.929 5.980
0.000 0.000 0.000
5.458 4.871 2.728
2.602 1.716 0.310
3.641 2.522 5.335
8.132 3.278 3.374
9.171 4.083 8.399
```



#2
# Mg2In3Ga4

A geometry-optimized Mg2In3Ga4 structure (PBE, the Alexandria database).

## Properties
The calculation puts the size of the total moment at 0.0 μB per formula unit.

```
Mg2In3Ga4
1.0
5.296 0.139 0.530
0.726 8.319 3.090
0.372 -0.311 8.891
Mg In Ga
4 6 8
Cartesian
1.781 6.078 6.796
2.054 4.178 3.985
4.613 2.069 5.714
4.340 3.969 8.525
1.390 7.645 9.410
2.434 2.327 1.562
5.004 0.502 3.100
3.960 5.820 10.949
1.831 3.015 6.811
4.563 5.132 5.700
3.157 0.508 7.832
5.624 1.341 9.223
3.237 7.639 4.678
0.770 6.806 3.288
4.277 7.061 8.175
4.863 3.552 2.990
2.117 1.086 4.336
1.531 4.594 9.521
```



Least stable = #2



#1
# Mg3InGa3

A geometry-optimized Mg3InGa3 structure (PBE, the Alexandria database).

## Properties
The calculation puts the size of the total moment at 0.0 μB per formula unit.

```
Mg3InGa3
1.0
5.654 0.636 -0.449
-1.623 5.454 -0.449
-0.518 -0.782 9.531
Mg In Ga
6 2 6
Cartesian
1.260 1.903 5.583
-0.596 4.211 4.317
4.110 1.096 4.317
-0.149 4.478 -0.449
4.180 1.611 -0.449
2.253 3.403 3.050
1.312 1.981 0.273
2.202 3.326 8.360
-0.027 -0.040 7.229
2.102 0.390 2.557
-0.462 2.088 2.557
1.411 4.917 6.076
3.976 3.219 6.076
3.540 5.347 1.404
```



#2
# Mg3InGa3

A geometry-optimized Mg3InGa3 structure (PBE, the Alexandria database).

## Properties
The calculation puts the size of the total moment at 0.0 μB per formula unit.

```
Mg3InGa3
1.0
7.559 0.000 0.000
0.000 7.559 0.000
0.000 0.000 7.559
Mg Ga In
6 6 2
Cartesian
0.000 1.890 3.780
0.000 5.670 3.780
3.780 0.000 5.670
5.670 3.780 0.000
3.780 0.000 1.890
1.890 3.780 0.000
1.890 0.000 3.780
0.000 3.780 1.890
3.780 5.670 0.000
5.670 0.000 3.780
0.000 3.780 5.670
3.780 1.890 0.000
3.780 3.780 3.780
0.000 0.000 0.000
```



Least stable = #2



#1
# Mg6InGa

A geometry-optimized Mg6InGa structure (PBE, the Alexandria database).

## Properties
The calculation puts the size of the total moment at 0.0 μB per formula unit.

```
Mg6InGa
1.0
-1.484 -1.178 5.202
-4.585 -2.067 2.316
-0.658 -9.253 3.555
Mg In Ga
6 1 1
Cartesian
-1.161 -6.136 3.134
-5.084 -9.336 8.332
-3.855 -3.201 5.128
-1.643 -3.161 2.741
-5.565 -6.362 7.939
-2.871 -9.296 5.945
0.000 0.000 0.000
-3.363 -6.249 5.537
```



#2
# Mg6InGa

A geometry-optimized Mg6InGa structure (PBE, the Alexandria database).

## Properties
The calculation puts the size of the total moment at 0.0 μB per formula unit.

```
Mg6InGa
1.0
4.419 0.000 0.000
0.000 4.419 0.000
0.000 0.000 8.854
Mg In Ga
6 1 1
Cartesian
2.209 2.209 0.000
2.209 2.209 4.427
2.209 0.000 2.289
2.209 0.000 6.565
0.000 2.209 2.289
0.000 2.209 6.565
0.000 0.000 0.000
0.000 0.000 4.427
```



Least stable = #1



#1
# Mg2InGa6

A geometry-optimized Mg2InGa6 structure (PBE, the Alexandria database).

## Properties
The calculation puts the size of the total moment at 0.0 μB per formula unit.

```
Mg2InGa6
1.0
3.269 0.000 0.000
0.000 6.925 -3.998
0.000 0.000 7.997
Mg In Ga
2 1 6
Cartesian
0.000 2.308 3.998
3.269 4.617 0.000
0.000 0.000 7.996
1.635 2.331 1.346
1.635 4.594 2.652
1.635 0.000 5.305
1.635 4.594 5.344
1.635 2.331 -1.346
1.635 0.000 2.692
```



#2
# Mg2InGa6

A geometry-optimized Mg2InGa6 structure (PBE, the Alexandria database).

## Properties
The calculation puts the size of the total moment at 0.0 μB per formula unit.

```
Mg2InGa6
1.0
-3.581 0.345 1.968
1.747 0.304 7.341
0.446 6.454 3.895
Mg In Ga
2 1 6
Cartesian
0.393 2.595 4.483
-1.781 4.509 8.721
-3.581 0.345 1.968
-0.942 2.539 2.087
-0.445 4.565 11.117
-0.934 6.875 9.823
-0.934 4.687 5.966
-0.454 2.418 7.238
-0.454 0.229 3.381
```



Least stable = #1



#1
# Mg7In2Ga2

A geometry-optimized Mg7In2Ga2 structure (PBE, the Alexandria database).

## Properties
The calculation puts the size of the total moment at 0.0 μB per formula unit.

```
Mg7In2Ga2
1.0
-2.865 4.779 -2.922
1.039 -3.173 -6.210
-4.633 -4.054 1.297
Mg In Ga
7 2 2
Cartesian
-4.898 1.885 -3.969
-5.310 -3.972 -4.678
-1.562 -4.334 -3.866
-1.149 1.523 -3.157
0.000 0.000 0.000
-2.957 -2.056 -5.546
-3.502 -0.392 -2.289
-5.578 -0.998 -4.427
-0.882 -1.451 -3.409
-2.318 -0.852 -7.958
-4.141 -1.596 0.123
```



#2
# Mg7In2Ga2

A geometry-optimized Mg7In2Ga2 structure (PBE, the Alexandria database).

## Properties
The calculation puts the size of the total moment at 0.0 μB per formula unit.

```
Mg7In2Ga2
1.0
5.532 -0.199 -0.947
-1.134 5.418 -0.947
-0.099 -0.117 8.290
Mg In Ga
7 2 2
Cartesian
4.388 2.652 0.064
2.429 0.328 6.333
-0.089 2.450 6.333
1.869 4.774 0.064
0.000 0.000 0.000
3.789 4.497 3.491
0.509 0.605 2.906
0.851 3.645 3.199
3.447 1.457 3.199
2.581 3.063 5.739
1.717 2.038 0.658
```



Least stable = #1